Here is a geometry-optimized MgFePb2 structure from the Alexandria database. Energies are from PBE.

Properties
The calculated formation energy is 0.293 eV/atom. The total energy is -4.08 eV/atom.

Cell lengths 7.1510, 7.1510, 7.1510 Å; angles 154.36, 143.02, 45.54 degrees
Sites, in units of the cell vectors:
1 Pb 0.0111 0.0111 0.0000
2 Pb 0.3091 0.8091 0.5000
3 Fe 0.4989 0.4989 0.0000
4 Mg 0.6809 0.1809 0.5000



Here is a geometry-optimized PrHoGaRh structure from the Alexandria database. Energies are from PBE.

Properties
The relative energy among the computed polymorphs is 99 meV per atom. The calculated formation energy is -0.581 eV/atom. The total energy is -5.51 eV/atom.

Cell lengths 5.0592, 5.0592, 5.0592 Å; angles 60.00, 60.00, 60.00 degrees
Sites, in units of the cell vectors:
1 Rh 0.7500 0.7500 0.7500
2 Ho 0.0000 0.0000 0.0000
3 Ga 0.2500 0.2500 0.2500
4 Pr 0.5000 0.5000 0.5000



Here is a geometry-optimized DyLuPdRu structure from the Alexandria database. Energies are from PBE.

Properties
The calculated formation energy is -0.700 eV/atom. The total energy is -6.60 eV/atom.

Cell lengths 4.8246, 4.8246, 4.8246 Å; angles 60.00, 60.00, 60.00 degrees
Sites, in units of the cell vectors:
1 Lu 0.0000 0.0000 0.0000
2 Ru 0.7500 0.7500 0.7500
3 Pd 0.2500 0.2500 0.2500
4 Dy 0.5000 0.5000 0.5000



Here is a geometry-optimized Cd7BrCl12 structure from the Alexandria database. Energies are from PBE.

Properties
For the energy relative to the elements, uncorrected, the calculation gives -0.964 eV per atom. The total energy is -2.48 eV/atom.

Cell lengths 8.8941, 8.8941, 8.8941 Å; angles 107.89, 107.89, 107.89 degrees
Sites, in units of the cell vectors:
1 Cl 0.1648 0.3753 0.4478
2 Cl 0.3753 0.4478 0.1648
3 Cl 0.3011 0.7974 0.9229
4 Cl 0.9229 0.3011 0.7974
5 Cl 0.0771 0.6989 0.2026
6 Cl 0.4478 0.1648 0.3753
7 Cl 0.5522 0.8352 0.6247
8 Cl 0.2026 0.0771 0.6989
9 Cl 0.6989 0.2026 0.0771
10 Cl 0.7974 0.9229 0.3011
11 Cl 0.8352 0.6247 0.5522
12 Cl 0.6247 0.5522 0.8352
13 Cd 0.3766 0.1386 0.0403
14 Cd 0.8614 0.9597 0.6234
15 Cd 0.5000 0.5000 0.5000
16 Cd 0.1386 0.0403 0.3766
17 Cd 0.0403 0.3766 0.1386
18 Cd 0.9597 0.6234 0.8614
19 Cd 0.6234 0.8614 0.9597
20 Br 0.0000 0.0000 0.0000



Here is a geometry-optimized Cr2NiC structure from the Alexandria database. Energies are from PBE.

Properties
The calculated formation energy is 0.395 eV/atom. The total energy is -8.17 eV/atom.

Cell lengths 2.7457, 2.7457, 7.0932 Å; angles 78.84, 78.84, 60.00 degrees
Sites, in units of the cell vectors:
1 Cr 0.1131 0.1131 0.6607
2 Cr 0.8869 0.8869 0.3393
3 C 0.5000 0.5000 0.5000
4 Ni 0.0000 0.0000 0.0000



Here is a geometry-optimized SiP2O2 structure from the Alexandria database. Energies are from PBE.

Properties
For the energy relative to the elements, uncorrected, the calculation gives 0.701 eV per atom. The relative energy among the computed polymorphs is 1539 meV per atom. The total energy is -4.53 eV/atom.

Cell lengths 3.9296, 3.9296, 4.0779 Å; angles 90.00, 90.00, 90.00 degrees
Sites, in units of the cell vectors:
1 Si 0.5000 0.5000 0.5000
2 P 0.5000 0.0000 0.0000
3 P 0.0000 0.5000 0.0000
4 O 0.0000 0.0000 0.5000
5 O 0.0000 0.0000 0.0000



Here is a geometry-optimized Nd3U2Se6 structure from the Alexandria database. Energies are from PBE.

Properties
For the energy relative to the elements, uncorrected, the calculation gives -1.494 eV per atom. The total energy is -6.75 eV/atom.

Cell lengths 4.1479, 4.1479, 20.7695 Å; angles 84.27, 84.27, 60.00 degrees
Sites, in units of the cell vectors:
1 Se 0.0862 0.0862 0.7414
2 Se 0.6380 0.6380 0.0859
3 Se 0.8043 0.8043 0.5870
4 Se 0.3620 0.3620 0.9141
5 Se 0.9138 0.9138 0.2586
6 Se 0.1957 0.1957 0.4130
7 Nd 0.2757 0.2757 0.1728
8 Nd 0.7243 0.7243 0.8272
9 Nd 0.0000 0.0000 0.0000
10 U 0.5535 0.5535 0.3396
11 U 0.4465 0.4465 0.6604



Here is a geometry-optimized CaErGe2 structure from the Alexandria database. Energies are from PBE.

Properties
The calculated formation energy is -0.532 eV/atom. The total energy is -4.48 eV/atom.

Cell lengths 3.3960, 5.2269, 5.2269 Å; angles 90.00, 90.00, 90.00 degrees
Sites, in units of the cell vectors:
1 Ge 0.0000 0.5000 0.0000
2 Ge 0.0000 0.0000 0.5000
3 Ca 0.5000 0.5000 0.5000
4 Er 0.5000 0.0000 0.0000



no.,M_tot (μB per atom),volume (Å³/atom),D(E_F) (states/eV/f.u.)
1,0.532,23.72,3.2
2,0.000,22.89,3.8
3,0.000,19.85,1.5
4,0.000,28.56,3.2
5,0.478,11.28,6.0
6,0.000,12.59,2.6
7,0.482,27.95,12.0
8,0.000,23.20,2.0